The following is a DFT calculation (GGA-PBE) of an optimized crystal structure of Ga2BiW.

Computed properties:
Crystal system   tetragonal
Electronic total energy   -20.023 eV/f.u.

abc: 4.3764 4.3764 18.5276
angles: 90.00 90.00 90.00
Closest atoms and distances in Å follow each position.
Space group I-42d (No. 122)
Inequivalent atoms, fractional coordinates:
Ga: 0.1591 0.2500 0.1250 [8 per cell]  2 Ga 2.59, 2 W 2.65
Bi: 0.0000 0.0000 0.5000 [4 per cell]  4 Ga 2.96, 4 W 3.09
W: 0.0000 0.0000 0.0000 [4 per cell]  4 Ga 2.65